1.
PBE-GGA BeFe2Ni, optimized geometry; energy relative to the elements = -0.080 eV per atom
1.0
3.440 0.000 0.000
0.000 3.440 0.000
0.000 0.000 3.596
Be Fe Ni
1 2 1
Cartesian
0.000 0.000 0.000 Be
0.000 1.720 1.798 Fe
1.720 0.000 1.798 Fe
1.720 1.720 0.000 Ni

2.
PBE-GGA BeFeNi2, optimized geometry; energy relative to the elements = -0.172 eV per atom
1.0
-1.773 1.773 3.310
1.773 -1.773 3.310
1.773 1.773 -3.310
Be Fe Ni
1 1 2
Cartesian
0.000 0.000 0.000 Be
0.000 0.000 3.310 Fe
1.773 0.000 1.655 Ni
0.000 1.773 1.655 Ni

3.
PBE-GGA BeFe4Ni15, optimized geometry; energy relative to the elements = -0.107 eV per atom
1.0
3.535 0.000 0.000
0.000 3.535 0.000
0.000 0.000 17.449
Be Fe Ni
1 4 15
Cartesian
0.000 0.000 0.000 Be
0.000 0.000 3.381 Fe
0.000 0.000 6.945 Fe
0.000 0.000 10.504 Fe
0.000 0.000 14.068 Fe
0.000 1.767 1.650 Ni
0.000 1.767 5.181 Ni
0.000 1.767 8.724 Ni
0.000 1.767 12.268 Ni
0.000 1.767 15.799 Ni
1.767 0.000 1.650 Ni
1.767 0.000 5.181 Ni
1.767 0.000 8.724 Ni
1.767 0.000 12.268 Ni
1.767 0.000 15.799 Ni
1.767 1.767 0.000 Ni
1.767 1.767 3.422 Ni
1.767 1.767 6.955 Ni
1.767 1.767 10.494 Ni
1.767 1.767 14.027 Ni